AlFeP | PBE | relaxed

Output
Its magnetic moment is 0.23 μB per atom. For the formation energy, the calculation gives -240 meV per atom. As for the space-group type: P-6m2.

```
AlFeP
1.0
3.734 0.000 0.000
-1.867 3.234 0.000
0.000 0.000 3.245
Al Fe P
1 1 1
direct
0.000 0.000 0.000
0.667 0.333 0.500
0.333 0.667 0.500
```